VASP calculation (GGA-PBE) on Hf3InO after structural relaxation.

Unit cell a=6.024 b=6.024 c=9.386 alpha=90.00 beta=90.00 gamma=148.44
Fractional coordinates of all 10 atoms:
Hf 0.027 0.973 0.750
Hf 0.373 0.627 0.525
Hf 0.373 0.627 0.975
Hf 0.627 0.373 0.025
Hf 0.627 0.373 0.475
Hf 0.973 0.027 0.250
In 0.250 0.750 0.250
In 0.750 0.250 0.750
O 0.000 0.000 0.000
O 0.000 0.000 0.500

Calculated values
Volume   178.3 Å³ per cell
Uncorrected energy   -8.58 eV/atom